a | This record from Alexandria describes an optimized crystal structure of NbTl2Ir. The functional is PBE-GGA.

## Properties
* total magnetization: 8.55 μB/cell
* crystal system: cubic

Cell: 6.800 6.800 6.800 Å, 90.00 90.00 90.00°
Atoms (fractional coordinates):
Nb1 0.000 0.000 0.000
Nb2 0.000 0.500 0.500
Nb3 0.500 0.000 0.500
Nb4 0.500 0.500 0.000
Tl1 0.250 0.250 0.250
Tl2 0.250 0.250 0.750
Tl3 0.250 0.750 0.250
Tl4 0.250 0.750 0.750
Tl5 0.750 0.250 0.250
Tl6 0.750 0.250 0.750
Tl7 0.750 0.750 0.250
Tl8 0.750 0.750 0.750
Ir1 0.000 0.000 0.500
Ir2 0.000 0.500 0.000
Ir3 0.500 0.000 0.000
Ir4 0.500 0.500 0.500

***

b | This record from Alexandria describes an optimized crystal structure of NbTl2Ir. The functional is PBE-GGA.

## Properties
* total magnetization: 0.00 μB/cell
* crystal system: tetragonal

Cell: 7.787 7.787 5.707 Å, 90.00 90.00 90.00°
Atoms (fractional coordinates):
Nb1 0.000 0.000 0.000
Nb2 0.000 0.500 0.250
Nb3 0.500 0.000 0.750
Nb4 0.500 0.500 0.500
Tl1 0.229 0.250 0.625
Tl2 0.250 0.729 0.875
Tl3 0.250 0.771 0.375
Tl4 0.271 0.250 0.125
Tl5 0.729 0.750 0.125
Tl6 0.750 0.229 0.375
Tl7 0.750 0.271 0.875
Tl8 0.771 0.750 0.625
Ir1 0.000 0.000 0.500
Ir2 0.000 0.500 0.750
Ir3 0.500 0.000 0.250
Ir4 0.500 0.500 0.000

***

Name the least stable of them. b.

***

a | This record from Alexandria describes an optimized crystal structure of UNbIr. The functional is PBE-GGA.

## Properties
* total magnetization: 0.00 μB/cell
* crystal system: tetragonal

Cell: 3.624 3.624 8.581 Å, 90.00 90.00 90.00°
Atoms (fractional coordinates):
U1 0.000 0.000 0.000
U2 0.500 0.500 0.500
Nb1 0.000 0.000 0.301
Nb2 0.500 0.500 0.801
Ir1 0.000 0.000 0.652
Ir2 0.500 0.500 0.152

***

b | This record from Alexandria describes an optimized crystal structure of UNbIr. The functional is PBE-GGA.

## Properties
* total magnetization: 2.30 μB/cell
* crystal system: tetragonal

Cell: 3.811 3.811 7.832 Å, 90.00 90.00 90.00°
Atoms (fractional coordinates):
U1 0.250 0.750 0.000
U2 0.750 0.250 0.000
Nb1 0.250 0.250 0.375
Nb2 0.750 0.750 0.625
Ir1 0.250 0.250 0.696
Ir2 0.750 0.750 0.304

***

Name the least stable of them. b.

***

a | This record from Alexandria describes an optimized crystal structure of UNb2Ir. The functional is PBE-GGA.

## Properties
* total magnetization: 7.74 μB/cell
* crystal system: cubic

Cell: 6.602 6.602 6.602 Å, 90.00 90.00 90.00°
Atoms (fractional coordinates):
U1 0.000 0.000 0.000
U2 0.000 0.500 0.500
U3 0.500 0.000 0.500
U4 0.500 0.500 0.000
Nb1 0.250 0.250 0.250
Nb2 0.250 0.250 0.750
Nb3 0.250 0.750 0.250
Nb4 0.250 0.750 0.750
Nb5 0.750 0.250 0.250
Nb6 0.750 0.250 0.750
Nb7 0.750 0.750 0.250
Nb8 0.750 0.750 0.750
Ir1 0.000 0.000 0.500
Ir2 0.000 0.500 0.000
Ir3 0.500 0.000 0.000
Ir4 0.500 0.500 0.500

***

b | This record from Alexandria describes an optimized crystal structure of UNb2Ir. The functional is PBE-GGA.

## Properties
* total magnetization: 1.43 μB/cell
* crystal system: tetragonal

Cell: 3.953 3.953 4.834 Å, 90.00 90.00 90.00°
Atoms (fractional coordinates):
U1 0.000 0.000 0.000
Nb1 0.000 0.500 0.500
Nb2 0.500 0.000 0.500
Ir1 0.500 0.500 0.000

***

Name the least stable of them. a.

***

a | This record from Alexandria describes an optimized crystal structure of NbVIr2. The functional is PBE-GGA.

## Properties
* total magnetization: 0.32 μB/cell
* crystal system: tetragonal

Cell: 2.828 2.828 7.518 Å, 90.00 90.00 90.00°
Atoms (fractional coordinates):
Nb1 0.000 0.000 0.000
V1 0.000 0.000 0.500
Ir1 0.500 0.500 0.271
Ir2 0.500 0.500 0.729

***

b | This record from Alexandria describes an optimized crystal structure of NbVIr2. The functional is PBE-GGA.

## Properties
* total magnetization: 0.00 μB/cell
* crystal system: tetragonal

Cell: 3.972 3.972 3.828 Å, 90.00 90.00 90.00°
Atoms (fractional coordinates):
Nb1 0.000 0.000 0.000
V1 0.500 0.500 0.000
Ir1 0.000 0.500 0.500
Ir2 0.500 0.000 0.500

***

Name the least stable of them. b.

***

a | This record from Alexandria describes an optimized crystal structure of Nb2VIr. The functional is PBE-GGA.

## Properties
* total magnetization: 0.00 μB/cell
* crystal system: tetragonal

Cell: 3.727 3.727 19.956 Å, 90.00 90.00 90.00°
Atoms (fractional coordinates):
Nb1 0.247 0.250 0.125
Nb2 0.250 0.747 0.375
Nb3 0.250 0.753 0.875
Nb4 0.253 0.250 0.625
Nb5 0.747 0.750 0.625
Nb6 0.750 0.247 0.875
Nb7 0.750 0.253 0.375
Nb8 0.753 0.750 0.125
V1 0.000 0.000 0.000
V2 0.000 0.500 0.250
V3 0.500 0.000 0.750
V4 0.500 0.500 0.500
Ir1 0.000 0.000 0.500
Ir2 0.000 0.500 0.750
Ir3 0.500 0.000 0.250
Ir4 0.500 0.500 0.000

***

b | This record from Alexandria describes an optimized crystal structure of Nb2VIr. The functional is PBE-GGA.

## Properties
* total magnetization: 0.00 μB/cell
* crystal system: tetragonal

Cell: 4.458 4.458 3.248 Å, 90.00 90.00 90.00°
Atoms (fractional coordinates):
Nb1 0.000 0.500 0.000
Nb2 0.500 0.000 0.000
V1 0.000 0.000 0.500
Ir1 0.500 0.500 0.500

***

c | This record from Alexandria describes an optimized crystal structure of Nb2VIr. The functional is PBE-GGA.

## Properties
* total magnetization: 0.01 μB/cell
* crystal system: trigonal

Cell: 2.827 2.827 28.510 Å, 90.00 90.00 120.00°
Atoms (fractional coordinates):
Nb1 0.000 0.000 0.248
Nb2 0.000 0.000 0.752
Nb3 0.333 0.667 0.418
Nb4 0.333 0.667 0.915
Nb5 0.667 0.333 0.085
Nb6 0.667 0.333 0.582
V1 0.000 0.000 0.000
V2 0.333 0.667 0.667
V3 0.667 0.333 0.333
Ir1 0.000 0.000 0.500
Ir2 0.333 0.667 0.167
Ir3 0.667 0.333 0.833

***

Name the least stable of them. a.

***

a | This record from Alexandria describes an optimized crystal structure of NbVIr. The functional is PBE-GGA.

## Properties
* total magnetization: 0.00 μB/cell
* crystal system: orthorhombic

Cell: 5.183 5.183 7.728 Å, 90.00 90.00 117.05°
Atoms (fractional coordinates):
Nb1 0.146 0.854 0.935
Nb2 0.354 0.646 0.435
Nb3 0.646 0.354 0.565
Nb4 0.854 0.146 0.065
V1 0.096 0.904 0.607
V2 0.404 0.596 0.107
V3 0.596 0.404 0.893
V4 0.904 0.096 0.393
Ir1 0.127 0.373 0.750
Ir2 0.373 0.127 0.250
Ir3 0.627 0.873 0.750
Ir4 0.873 0.627 0.250

***

b | This record from Alexandria describes an optimized crystal structure of NbVIr. The functional is PBE-GGA.

## Properties
* total magnetization: 0.00 μB/cell
* crystal system: tetragonal

Cell: 2.669 2.669 14.297 Å, 90.00 90.00 90.00°
Atoms (fractional coordinates):
Nb1 0.000 0.000 0.000
Nb2 0.500 0.500 0.500
V1 0.000 0.000 0.346
V2 0.500 0.500 0.846
Ir1 0.000 0.000 0.183
Ir2 0.500 0.500 0.683

***

Name the least stable of them. b.

***

a | This record from Alexandria describes an optimized crystal structure of NbIr2W. The functional is PBE-GGA.

## Properties
* total magnetization: 0.00 μB/cell
* crystal system: tetragonal

Cell: 3.989 3.989 3.932 Å, 90.00 90.00 90.00°
Atoms (fractional coordinates):
Nb1 0.000 0.000 0.000
Ir1 0.000 0.500 0.500
Ir2 0.500 0.000 0.500
W1 0.500 0.500 0.000

***

b | This record from Alexandria describes an optimized crystal structure of NbIr2W. The functional is PBE-GGA.

## Properties
* total magnetization: 0.00 μB/cell
* crystal system: tetragonal

Cell: 7.130 7.130 5.474 Å, 90.00 90.00 90.00°
Atoms (fractional coordinates):
Nb1 0.000 0.000 0.000
Nb2 0.000 0.500 0.250
Nb3 0.500 0.000 0.750
Nb4 0.500 0.500 0.500
Ir1 0.230 0.250 0.625
Ir2 0.250 0.730 0.875
Ir3 0.250 0.770 0.375
Ir4 0.270 0.250 0.125
Ir5 0.730 0.750 0.125
Ir6 0.750 0.230 0.375
Ir7 0.750 0.270 0.875
Ir8 0.770 0.750 0.625
W1 0.000 0.000 0.500
W2 0.000 0.500 0.750
W3 0.500 0.000 0.250
W4 0.500 0.500 0.000

***

Name the least stable of them. b.

***

a | This record from Alexandria describes an optimized crystal structure of NbIr2W. The functional is PBE-GGA.

## Properties
* total magnetization: 0.00 μB/cell
* crystal system: cubic

Cell: 6.369 6.369 6.369 Å, 90.00 90.00 90.00°
Atoms (fractional coordinates):
Nb1 0.000 0.000 0.000
Nb2 0.000 0.500 0.500
Nb3 0.500 0.000 0.500
Nb4 0.500 0.500 0.000
Ir1 0.250 0.250 0.250
Ir2 0.250 0.250 0.750
Ir3 0.250 0.750 0.250
Ir4 0.250 0.750 0.750
Ir5 0.750 0.250 0.250
Ir6 0.750 0.250 0.750
Ir7 0.750 0.750 0.250
Ir8 0.750 0.750 0.750
W1 0.000 0.000 0.500
W2 0.000 0.500 0.000
W3 0.500 0.000 0.000
W4 0.500 0.500 0.500

***

b | This record from Alexandria describes an optimized crystal structure of NbIr2W. The functional is PBE-GGA.

## Properties
* total magnetization: 0.00 μB/cell
* crystal system: orthorhombic

Cell: 2.822 3.921 5.651 Å, 90.00 90.00 90.00°
Atoms (fractional coordinates):
Nb1 0.000 0.000 0.000
Ir1 0.500 0.500 0.256
Ir2 0.500 0.500 0.744
W1 0.000 0.000 0.500

***

Name the least stable of them. a.